An optimized crystal structure of Pm8Al3Cu2, computed with PBE.

The structure in POSCAR format:
```
Pm8Al3Cu2
1.0
5.4145 -0.0001 -0.0001
0.0000 7.4007 -4.0406
-0.0002 0.0461 8.8823
Pm Al Cu
8 3 2
Direct
0.0000 0.6927 0.3854
0.0000 0.3073 0.6146
0.0000 0.1032 0.2064
0.0000 0.8968 0.7936
0.5000 0.5937 0.7600
0.5000 0.1663 0.7600
0.5000 0.8337 0.2400
0.5000 0.4063 0.2400
0.5000 0.0000 0.0000
0.0000 0.3388 0.0000
0.0000 0.6612 0.0000
0.5000 0.2204 0.4407
0.5000 0.7796 0.5593
```

Output
Symmetry   No. 65
Fermi-level density of states   11.8 states/eV/f.u.
Raw total energy   -0.33096 Ry per atom